A plane-wave DFT calculation with GGA-PBEsol was carried out for MnCdMo2 after structural relaxation.

Calculated values
N(E_F) in states/eV/f.u.: 1.47
Space group: No. 99
Final energy in eV per atom: -8.300

Lattice parameters (Å, degrees): 3.149 3.149 6.321 90.00 90.00 90.00
Element x y z (fractional)
1 Mn 0.000 0.000 0.000
2 Cd 0.500 0.500 0.739
3 Mo 0.000 0.000 0.443
4 Mo 0.500 0.500 0.222